First-principles (GGA-PBE) data for a geometry-optimized Li3VS3 structure, as listed in Alexandria via LeMat-Bulk.

Cell and atoms, written as CIF:
```
data_Li3VS3
_chemical_formula_sum 'Li6 V2 S6'
_cell_length_a 6.747
_cell_length_b 6.747
_cell_length_c 6.747
_cell_angle_alpha 111.51
_cell_angle_beta 111.51
_cell_angle_gamma 111.51
_space_group_name_H-M_alt 'P 1'
_space_group_IT_number 1
loop_
_space_group_symop_operation_xyz
'x,y,z'
loop_
_atom_site_label
_atom_site_type_symbol
_atom_site_fract_x
_atom_site_fract_y
_atom_site_fract_z
Li1 Li 0.596 0.699 0.147
Li2 Li 0.096 0.647 0.199
Li3 Li 0.647 0.199 0.096
Li4 Li 0.147 0.596 0.699
Li5 Li 0.699 0.147 0.596
Li6 Li 0.199 0.096 0.647
V1 V 0.398 0.398 0.398
V2 V 0.898 0.898 0.898
S1 S 0.322 0.973 0.148
S2 S 0.822 0.648 0.473
S3 S 0.473 0.822 0.648
S4 S 0.973 0.148 0.322
S5 S 0.648 0.473 0.822
S6 S 0.148 0.322 0.973
```

The space group is R-3c. Its uncorrected formation energy is -1.130 eV per atom. The calculation puts the total magnetization at 3.60 μB/cell.

***

First-principles (GGA-PBE) data for a geometry-optimized Li3V4S8 structure, as listed in Alexandria via LeMat-Bulk.

Cell and atoms, written as CIF:
```
data_Li3V4S8
_chemical_formula_sum 'Li3 V4 S8'
_cell_length_a 6.630
_cell_length_b 7.648
_cell_length_c 6.635
_cell_angle_alpha 64.16
_cell_angle_beta 60.02
_cell_angle_gamma 64.31
_space_group_name_H-M_alt 'P 1'
_space_group_IT_number 1
loop_
_space_group_symop_operation_xyz
'x,y,z'
loop_
_atom_site_label
_atom_site_type_symbol
_atom_site_fract_x
_atom_site_fract_y
_atom_site_fract_z
Li1 Li 0.345 0.433 0.347
Li2 Li 0.875 0.433 0.347
Li3 Li 0.345 0.432 0.879
V1 V 0.004 0.986 0.007
V2 V 0.948 0.993 0.532
V3 V 0.526 0.993 0.532
V4 V 0.527 0.993 0.953
S1 S 0.270 0.185 0.275
S2 S 0.761 0.220 0.259
S3 S 0.727 0.794 0.242
S4 S 0.237 0.794 0.242
S5 S 0.255 0.221 0.764
S6 S 0.760 0.221 0.764
S7 S 0.237 0.793 0.733
S8 S 0.750 0.744 0.756
```

The space group is Cm. Its uncorrected formation energy is -1.031 eV per atom. The calculation puts the total magnetization at 0.29 μB/cell.